! BaBO3 PBE optimized geometry; values from VASP
! * N(E_F): 2.03 states/eV/cell
! * magnetization: 1.000 μB/cell
! * formation energy (no corrections): -111 kJ per mole of atoms
! * E: -5.84 eV per atom
&SYSTEM
  ibrav = 0, nat = 5, ntyp = 3
/
ATOMIC_SPECIES
Ba 137.33 Ba.upf
B 10.81 B.upf
O 16.00 O.upf
CELL_PARAMETERS angstrom
3.727 0.000 0.000
0.000 3.727 0.000
0.000 0.000 3.727
ATOMIC_POSITIONS crystal
Ba 0.000 0.000 0.000
B 0.500 0.500 0.500
O 0.000 0.500 0.500
O 0.500 0.000 0.500
O 0.500 0.500 0.000

! Ba3B2O6 PBE optimized geometry; values from VASP
! * N(E_F): 0.00 states/eV/cell
! * magnetization: 0.000 μB/cell
! * formation energy (no corrections): -262 kJ per mole of atoms
! * E: -7.16 eV per atom
&SYSTEM
  ibrav = 0, nat = 22, ntyp = 3
/
ATOMIC_SPECIES
Ba 137.33 Ba.upf
B 10.81 B.upf
O 16.00 O.upf
CELL_PARAMETERS angstrom
5.242 0.000 0.000
0.000 7.172 0.000
0.000 0.000 10.362
ATOMIC_POSITIONS crystal
Ba 0.000 0.000 0.000
Ba 0.000 0.500 0.188
Ba 0.000 0.500 0.812
Ba 0.500 0.000 0.312
Ba 0.500 0.000 0.688
Ba 0.500 0.500 0.500
B 0.025 0.236 0.500
B 0.475 0.736 0.000
B 0.525 0.264 0.000
B 0.975 0.764 0.500
O 0.155 0.268 0.383
O 0.155 0.268 0.617
O 0.232 0.813 0.500
O 0.268 0.313 0.000
O 0.345 0.768 0.117
O 0.345 0.768 0.883
O 0.655 0.232 0.117
O 0.655 0.232 0.883
O 0.732 0.687 0.000
O 0.768 0.187 0.500
O 0.845 0.732 0.383
O 0.845 0.732 0.617

! Ba2BO4 PBE optimized geometry; values from VASP
! * N(E_F): 11.35 states/eV/cell
! * magnetization: 2.053 μB/cell
! * formation energy (no corrections): -232 kJ per mole of atoms
! * E: -6.74 eV per atom
&SYSTEM
  ibrav = 0, nat = 14, ntyp = 3
/
ATOMIC_SPECIES
Ba 137.33 Ba.upf
B 10.81 B.upf
O 16.00 O.upf
CELL_PARAMETERS angstrom
5.687 0.000 0.000
0.000 5.611 0.000
-1.617 0.000 7.558
ATOMIC_POSITIONS crystal
Ba 0.223 0.250 0.031
Ba 0.262 0.250 0.537
Ba 0.738 0.750 0.463
Ba 0.777 0.750 0.969
B 0.211 0.750 0.775
B 0.789 0.250 0.225
O 0.057 0.535 0.735
O 0.057 0.965 0.735
O 0.308 0.750 0.970
O 0.404 0.750 0.669
O 0.596 0.250 0.331
O 0.692 0.250 0.030
O 0.943 0.035 0.265
O 0.943 0.465 0.265

! Ba3B2O6 PBE optimized geometry; values from VASP
! * N(E_F): 0.00 states/eV/cell
! * magnetization: 0.000 μB/cell
! * formation energy (no corrections): -267 kJ per mole of atoms
! * E: -7.21 eV per atom
&SYSTEM
  ibrav = 0, nat = 22, ntyp = 3
/
ATOMIC_SPECIES
Ba 137.33 Ba.upf
B 10.81 B.upf
O 16.00 O.upf
CELL_PARAMETERS angstrom
4.791 2.766 4.679
-4.791 2.766 4.679
0.000 -5.532 4.679
ATOMIC_POSITIONS crystal
Ba 0.096 0.750 0.404
Ba 0.250 0.596 0.904
Ba 0.404 0.096 0.750
Ba 0.596 0.904 0.250
Ba 0.750 0.404 0.096
Ba 0.904 0.250 0.596
B 0.115 0.115 0.115
B 0.385 0.385 0.385
B 0.615 0.615 0.615
B 0.885 0.885 0.885
O 0.029 0.889 0.737
O 0.111 0.263 0.971
O 0.237 0.389 0.529
O 0.263 0.971 0.111
O 0.389 0.529 0.237
O 0.471 0.763 0.611
O 0.529 0.237 0.389
O 0.611 0.471 0.763
O 0.737 0.029 0.889
O 0.763 0.611 0.471
O 0.889 0.737 0.029
O 0.971 0.111 0.263